1.
BaTlAg2Sb: optimized geometry, PBE-GGA.

Computed properties:
The value obtained for the formation energy without anion corrections is 961 meV/atom.

Cell: 5.820 5.820 6.369 Å, 90.00 90.00 90.00°
Space group P4/mmm (No. 123)
One atom of each set of equivalent atoms:
Ba 0.000 0.000 0.000 [1 per cell]
Tl 0.000 0.000 0.500 [1 per cell]
Ag 0.000 0.500 0.000 [2 per cell]
Sb 0.500 0.500 0.500 [1 per cell]

2.
K3ReN3: optimized geometry, PBE-GGA.

Computed properties:
The value obtained for the formation energy without anion corrections is -326 meV/atom.

Cell: 7.503 6.923 11.036 Å, 90.00 95.24 90.00°
Space group P2_1/c (No. 14)
One atom of each set of equivalent atoms:
K 0.046 0.106 0.158 [4 per cell]
K 0.363 0.178 0.927 [4 per cell]
K 0.365 0.679 0.809 [4 per cell]
Re 0.152 0.577 0.064 [4 per cell]
N 0.107 0.064 0.407 [4 per cell]
N 0.238 0.681 0.542 [4 per cell]
N 0.289 0.054 0.679 [4 per cell]

3.
NaHf3Au: optimized geometry, PBE-GGA.

Computed properties:
The calculation puts the total energy at -5.338 eV per atom.

Cell: 4.878 4.878 4.878 Å, 90.00 90.00 90.00°
Space group Pm-3m (No. 221)
One atom of each set of equivalent atoms:
Na 0.000 0.000 0.000 [1 per cell]
Hf 0.000 0.000 0.500 [3 per cell]
Au 0.500 0.500 0.500 [1 per cell]